This record from the Alexandria database describes crystalline Zr5ScIn6 at its relaxed geometry. The functional is PBE.

a b c (Å): 8.346 8.346 8.346
angles (deg): 148.89 115.94 72.93
Sites, in units of the cell vectors:
Zr  0.000  0.000  0.000
Zr  0.166  0.666  0.500
Zr  0.332  0.332  0.000
Zr  0.668  0.668  0.000
Zr  0.834  0.334  0.500
Sc  0.500  0.000  0.500
In  0.084  0.834  0.251
In  0.251  0.500  0.751
In  0.417  0.166  0.251
In  0.583  0.834  0.749
In  0.749  0.500  0.249
In  0.916  0.166  0.749

ρ in g/cm3: 7.43
Space group: Immm
DFT formation energy in eV per atom: -0.33
Final energy in eV/atom: -5.79